(1)
A PBEsol-optimized structure of Li2YAs, computed with meta-GGA SCAN.

## Properties
* crystal system: tetragonal
* electronic total energy: -54.37 eV per cell
* magnetic moment: 0.006 μB/f.u.

a b c (Å): 3.742 3.742 5.740
angles (deg): 90.00 90.00 90.00
Positions (direct):
Y: 0.500 0.500 0.000
Li: 0.000 0.000 0.303
Li: 0.000 0.000 0.697
As: 0.500 0.500 0.500

---

(2)
A PBEsol-optimized structure of Li2YAs, computed with meta-GGA SCAN.

## Properties
* crystal system: tetragonal
* electronic total energy: -55.74 eV per cell
* magnetic moment: 0.000 μB/f.u.

a b c (Å): 4.058 4.058 4.825
angles (deg): 90.00 90.00 90.00
Positions (direct):
As: 0.000 0.000 0.500
Y: 0.500 0.500 0.500
Li: 0.000 0.500 0.000
Li: 0.500 0.000 0.000

---

(3)
A PBEsol-optimized structure of LiZn2As2, computed with meta-GGA SCAN.

## Properties
* crystal system: tetragonal
* electronic total energy: -70.93 eV per cell
* magnetic moment: 0.000 μB/f.u.

a b c (Å): 3.890 3.890 6.802
angles (deg): 106.62 106.62 90.00
Positions (direct):
As: 0.619 0.619 0.238
As: 0.381 0.381 0.762
Zn: 0.250 0.750 0.500
Zn: 0.750 0.250 0.500
Li: 0.000 0.000 0.000

---

(4)
A PBEsol-optimized structure of Li3ZnAs, computed with meta-GGA SCAN.

## Properties
* crystal system: cubic
* electronic total energy: -40.36 eV per cell
* magnetic moment: 0.000 μB/f.u.

a b c (Å): 4.531 4.531 4.531
angles (deg): 90.00 90.00 90.00
Positions (direct):
As: 0.500 0.500 0.500
Li: 0.500 0.000 0.000
Li: 0.000 0.500 0.000
Li: 0.000 0.000 0.500
Zn: 0.000 0.000 0.000

---

(5)
A PBEsol-optimized structure of LiZnAs, computed with meta-GGA SCAN.

## Properties
* crystal system: hexagonal
* electronic total energy: -37.25 eV per cell
* magnetic moment: 0.000 μB/f.u.

a b c (Å): 4.076 4.076 4.026
angles (deg): 90.00 90.00 120.00
Positions (direct):
Li: 0.667 0.333 0.667
As: 0.000 0.000 0.167
Zn: 0.333 0.667 0.167

---

(6)
A PBEsol-optimized structure of Li2ZrAs, computed with meta-GGA SCAN.

## Properties
* crystal system: orthorhombic
* electronic total energy: -56.80 eV per cell
* magnetic moment: 0.000 μB/f.u.

a b c (Å): 3.006 4.089 5.496
angles (deg): 90.00 90.00 90.00
Positions (direct):
As: 0.500 0.500 0.500
Li: 0.000 0.000 0.716
Li: 0.000 0.000 0.284
Zr: 0.500 0.500 0.000

---

(7)
A PBEsol-optimized structure of Li2ZrAs, computed with meta-GGA SCAN.

## Properties
* crystal system: trigonal
* electronic total energy: -56.13 eV per cell
* magnetic moment: 0.000 μB/f.u.

a b c (Å): 2.926 2.926 9.900
angles (deg): 81.50 81.50 60.00
Positions (direct):
As: 0.000 0.000 0.000
Zr: 0.500 0.500 0.500
Li: 0.262 0.262 0.213
Li: 0.738 0.738 0.787

---

(8)
A PBEsol-optimized structure of Li2ZrAs, computed with meta-GGA SCAN.

## Properties
* crystal system: cubic
* electronic total energy: -55.98 eV per cell
* magnetic moment: 1.696 μB/f.u.

a b c (Å): 4.360 4.360 4.360
angles (deg): 60.00 60.00 60.00
Each line ends with the local moment (μB).
Positions (direct):
Li: 0.750 0.750 0.750  0.06
Li: 0.250 0.250 0.250  0.06
As: 0.000 0.000 0.000  -0.06
Zr: 0.500 0.500 0.500  0.98